(1)
## PuAlGaHg (PBE)

Data for an optimized crystal structure of PuAlGaHg.

Calculated values
Formation energy in meV/atom: -131.0
Space-group type: F-43m (216)

Cell and atoms, written as POSCAR:
```
PuAlGaHg
1.0
4.9619 0.0000 0.0000
2.4809 4.2971 0.0000
2.4809 1.4324 4.0514
Al Hg Ga Pu
1 1 1 1
direct
0.2500 0.2500 0.2500
0.5000 0.5000 0.5000
0.0000 0.0000 0.0000
0.7500 0.7500 0.7500
```

---

(2)
## La2YRu (PBE)

Data for an optimized crystal structure of La2YRu.

Calculated values
Excess energy over the best structure of this formula in the dataset in meV/atom: 125
Formation energy in meV/atom: -117.4
Space-group type: Cm (8)

Cell and atoms, written as POSCAR:
```
La2YRu
1.0
6.4460 0.0028 -0.0122
5.3676 3.5693 -0.0122
2.4397 0.7377 5.1062
Y La Ru
1 2 1
direct
0.1903 0.1903 0.3226
0.0009 0.0009 0.0165
0.8097 0.8097 0.7037
0.4991 0.4991 0.4572
```

---

(3)
## TaAg2Ir (PBE)

Data for an optimized crystal structure of TaAg2Ir.

Calculated values
Excess energy over the best structure of this formula in the dataset in meV/atom: 790
Formation energy in meV/atom: 815.2
Space-group type: I-42d (122)

Cell and atoms, written as POSCAR:
```
TaAg2Ir
1.0
-3.3626 5.1702 4.3330
-4.8245 1.5408 -5.5825
-5.7227 1.5366 0.2812
Ag Ir Ta
4 2 2
direct
0.3750 0.3675 0.7500
0.6325 0.1250 0.2500
0.1175 0.6250 0.2500
0.8750 0.8825 0.7500
0.0000 0.0000 0.0000
0.7500 0.2500 0.5000
0.5000 0.5000 0.0000
0.2500 0.7500 0.5000
```

---

(4)
## Ce5Zn3Ga3 (PBE)

Data for an optimized crystal structure of Ce5Zn3Ga3.

Calculated values
Formation energy in meV/atom: -37.9
Space-group type: P-62m (189)

Cell and atoms, written as POSCAR:
```
Ce5Zn3Ga3
1.0
3.0148 0.0000 0.0000
0.0000 8.3323 -4.8107
0.0000 0.0000 9.6214
Ga Ce Zn
3 5 3
direct
0.0000 0.3663 0.3663
0.0000 0.6337 0.0000
0.0000 0.0000 0.6337
0.5000 0.0000 0.3595
0.5000 0.3595 0.0000
0.5000 0.6405 0.6405
0.5000 0.3333 0.6667
0.5000 0.6667 0.3333
0.5000 0.1492 0.1492
0.5000 0.0000 0.8508
0.5000 0.8508 0.0000
```

---

(5)
## CsBa2CdPt (PBE)

Data for an optimized crystal structure of CsBa2CdPt.

Calculated values
Excess energy over the best structure of this formula in the dataset in meV/atom: 0
Formation energy in meV/atom: -269.9
Space-group type: P4/mmm (123)

Cell and atoms, written as POSCAR:
```
CsBa2CdPt
1.0
6.2692 0.0000 0.0000
0.0000 6.2692 0.0000
0.0000 0.0000 5.5658
Cd Ba Cs Pt
1 2 1 1
direct
0.0000 0.0000 0.5000
0.0000 0.5000 0.0000
0.5000 0.0000 0.0000
0.5000 0.5000 0.5000
0.0000 0.0000 0.0000
```

---

(6)
## ZrInGaHg2 (PBE)

Data for an optimized crystal structure of ZrInGaHg2.

Calculated values
Formation energy in meV/atom: 346.1
Space-group type: P4/mmm (123)

Cell and atoms, written as POSCAR:
```
ZrInGaHg2
1.0
-2.7482 -3.1882 2.6520
4.4126 -2.4640 1.6106
0.2638 3.0406 3.9288
Hg Zr In Ga
2 1 1 1
direct
0.0000 0.0000 0.5000
0.5000 0.0000 0.0000
0.0000 0.5000 0.0000
0.5000 0.5000 0.5000
0.0000 0.0000 0.0000
```

---

(7)
## Er2Ni3Ge4Pt (PBE)

Data for an optimized crystal structure of Er2Ni3Ge4Pt.

Calculated values
Formation energy in meV/atom: -725.7
Space-group type: P-4m2 (115)

Cell and atoms, written as POSCAR:
```
Er2Ni3Ge4Pt
1.0
4.1006 0.0000 0.0000
0.0000 4.1006 0.0000
0.0000 0.0000 9.8197
Ge Pt Er Ni
4 1 2 3
direct
0.5000 0.5000 0.0000
0.0000 0.0000 0.0000
0.5000 0.0000 0.6432
0.0000 0.5000 0.3568
0.5000 0.5000 0.5000
0.5000 0.0000 0.2456
0.0000 0.5000 0.7544
0.5000 0.0000 0.8776
0.0000 0.0000 0.5000
0.0000 0.5000 0.1224
```

---

(8)
## PmTm3Pb5 (PBE)

Data for an optimized crystal structure of PmTm3Pb5.

Calculated values
Formation energy in meV/atom: -349.2
Space-group type: P6_3/mcm (193)

Cell and atoms, written as POSCAR:
```
PmTm3Pb5
1.0
6.4522 0.0000 0.0000
0.0000 9.5955 0.0000
0.0000 -4.7978 8.3100
Pb Tm Pm
10 6 2
direct
0.2500 0.0000 0.2983
0.2500 0.2983 0.0000
0.2500 0.7017 0.7017
0.0000 0.3333 0.6667
0.7500 0.7017 0.0000
0.0000 0.6667 0.3333
0.5000 0.3333 0.6667
0.7500 0.2983 0.2983
0.7500 0.0000 0.7017
0.5000 0.6667 0.3333
0.2500 0.3772 0.3772
0.7500 0.3772 0.0000
0.2500 0.6228 0.0000
0.7500 0.0000 0.3772
0.2500 0.0000 0.6228
0.7500 0.6228 0.6228
0.5000 0.0000 0.0000
0.0000 0.0000 0.0000
```

---

(9)
## Ce4Zn2Hg5 (PBE)

Data for an optimized crystal structure of Ce4Zn2Hg5.

Calculated values
Formation energy in meV/atom: -251.2
Space-group type: P2/m (10)

Cell and atoms, written as POSCAR:
```
Ce4Zn2Hg5
1.0
3.4166 0.0000 0.0000
0.0000 7.9682 -0.0614
0.0000 -0.8471 10.1653
Hg Ce Zn
5 4 2
direct
0.0000 0.5657 0.3024
0.0000 0.1813 0.1624
0.0000 0.5000 0.0000
0.0000 0.8187 0.8376
0.0000 0.4343 0.6976
0.5000 0.7327 0.5560
0.5000 0.1684 0.8769
0.5000 0.2673 0.4440
0.5000 0.8316 0.1231
0.0000 0.9433 0.3728
0.0000 0.0567 0.6272
```

---

(10)
## KCuSi (PBE)

Data for an optimized crystal structure of KCuSi.

Calculated values
Excess energy over the best structure of this formula in the dataset in meV/atom: 209
Space-group type: P-6m2 (187)
Raw formation energy in eV per atom: 0.20

Cell and atoms, written as POSCAR:
```
KCuSi
1.0
-4.7686 1.6658 2.0081
-1.0776 -3.8330 0.6207
1.9298 2.0433 2.8878
Si Cu K
1 1 1
direct
0.1667 0.6667 0.3333
0.1666 0.0000 0.0000
0.6667 0.3333 0.6667
```

---

(11)
## AgHgMo2 (PBE)

Data for an optimized crystal structure of AgHgMo2.

Calculated values
Formation energy in meV/atom: 413.0
Space-group type: P4mm (99)

Cell and atoms, written as POSCAR:
```
AgHgMo2
1.0
-2.1572 -0.3085 2.4228
2.4209 -0.6970 2.0668
0.6774 6.6536 1.4503
Mo Hg Ag
2 1 1
direct
0.0000 0.0000 0.0410
0.5000 0.5000 0.2159
0.5000 0.5000 0.7531
0.0000 0.0000 0.4900
```

---

(12)
## PaSnS (PBE)

Data for an optimized crystal structure of PaSnS.

Calculated values
Excess energy over the best structure of this formula in the dataset in meV/atom: 274
Space-group type: I4mm (107)
Raw formation energy in eV per atom: -0.75

Cell and atoms, written as POSCAR:
```
PaSnS
1.0
3.4900 0.0000 0.0000
0.0000 3.4900 0.0000
-1.7450 -1.7450 5.8817
Sn S Pa
1 1 1
direct
0.9981 0.9981 0.9962
0.3011 0.3011 0.6022
0.7008 0.7008 0.4016
```

---

(13)
## UPaAs2 (PBE)

Data for an optimized crystal structure of UPaAs2.

Calculated values
Excess energy over the best structure of this formula in the dataset in meV/atom: 945
Formation energy in meV/atom: 58.1
Space-group type: R-3m (166)

Cell and atoms, written as POSCAR:
```
UPaAs2
1.0
-3.7869 0.9217 0.3559
-1.6988 -0.0323 3.5256
0.3496 8.8104 2.4214
As U Pa
2 1 1
direct
0.1028 0.1028 0.6916
0.8972 0.8972 0.3084
0.5000 0.5000 0.5000
0.0000 0.0000 0.0000
```

---

(14)
## HgTe2Se (PBE)

Data for an optimized crystal structure of HgTe2Se.

Calculated values
Excess energy over the best structure of this formula in the dataset in meV/atom: 0
Space-group type: I4mm (107)
Raw formation energy in eV per atom: 0.01

Cell and atoms, written as POSCAR:
```
HgTe2Se
1.0
-1.9398 -0.7705 -6.5052
-4.2659 -3.4756 -4.0491
-2.1396 3.3719 1.6874
Hg Se Te
1 1 2
direct
0.5034 0.5034 0.5035
0.7540 0.7540 0.7540
0.0009 0.0009 0.0011
0.2416 0.2416 0.2414
```

---

(15)
## Pm2AsP (PBE)

Data for an optimized crystal structure of Pm2AsP.

Calculated values
Excess energy over the best structure of this formula in the dataset in meV/atom: 177
Formation energy in meV/atom: -1366.1
Space-group type: R3m (160)

Cell and atoms, written as POSCAR:
```
Pm2AsP
1.0
-1.0999 1.9745 3.4606
1.9607 -0.8021 3.5492
5.0218 5.5639 0.8900
Pm P As
2 1 1
direct
0.0830 0.0830 0.7511
0.2505 0.2505 0.2485
0.4990 0.4990 0.5031
0.6676 0.6676 0.9972
```

---

(16)
## Ho3Er5Sb8 (PBE)

Data for an optimized crystal structure of Ho3Er5Sb8.

Calculated values
Space-group type: R-3m (166)
Raw formation energy in eV per atom: -1.10

Cell and atoms, written as POSCAR:
```
Ho3Er5Sb8
1.0
-8.0617 -0.1957 -3.3070
-2.3405 -6.4290 -5.3995
-5.6530 -6.0799 2.6551
Sb Er Ho
8 5 3
direct
0.2500 0.2500 0.7507
0.2504 0.2504 0.2489
0.7500 0.7500 0.2493
0.7496 0.7496 0.7511
0.7500 0.2507 0.2493
0.2507 0.7500 0.2493
0.7493 0.2500 0.7507
0.2500 0.7493 0.7507
0.5000 0.5000 0.0000
0.5000 0.0000 0.0000
0.0000 0.5000 0.0000
0.5000 0.5000 0.5000
0.0000 0.0000 0.0000
0.0000 0.0000 0.5000
0.5000 0.0000 0.5000
0.0000 0.5000 0.5000
```

---

(17)
## YBeCr (PBE)

Data for an optimized crystal structure of YBeCr.

Calculated values
Excess energy over the best structure of this formula in the dataset in meV/atom: 1
Formation energy in meV/atom: 321.8
Space-group type: I4mm (107)

Cell and atoms, written as POSCAR:
```
YBeCr
1.0
-4.5251 0.0757 3.2156
-4.2580 -2.9024 2.0659
0.9046 -1.0359 2.8934
Y Cr Be
1 1 1
direct
0.6633 0.6632 0.3367
0.3749 0.3748 0.6251
0.9618 0.9619 0.0382
```

---

(18)
## ScMnC2S (PBE)

Data for an optimized crystal structure of ScMnC2S.

Calculated values
Space-group type: P4/mmm (123)
Raw formation energy in eV per atom: 1.82

Cell and atoms, written as POSCAR:
```
ScMnC2S
1.0
-0.4490 -3.8661 0.2157
0.4499 0.2058 4.6262
-3.8537 0.4673 0.3539
C Mn Sc S
2 1 1 1
direct
0.5000 0.0000 0.0000
0.0000 0.0000 0.5000
0.5000 0.5000 0.5000
0.0000 0.5000 0.0000
0.0000 0.0000 0.0000
```

---

(19)
## TlIn2Ga (PBE)

Data for an optimized crystal structure of TlIn2Ga.

Calculated values
Excess energy over the best structure of this formula in the dataset in meV/atom: 57
Formation energy in meV/atom: 85.2
Space-group type: Fm-3m (225)

Cell and atoms, written as POSCAR:
```
TlIn2Ga
1.0
-3.1239 -3.1249 -2.9425
-4.6266 -1.7221 1.9520
-4.5668 1.8850 -1.9424
In Tl Ga
2 1 1
direct
0.7500 0.7500 0.7500
0.2500 0.2500 0.2500
0.5000 0.5000 0.5000
0.0000 0.0000 0.0000
```

---

(20)
## BaPbSe2N (PBE)

Data for an optimized crystal structure of BaPbSe2N.

Calculated values
Excess energy over the best structure of this formula in the dataset in meV/atom: 716
Space-group type: P4/mmm (123)
Raw formation energy in eV per atom: 0.59

Cell and atoms, written as POSCAR:
```
BaPbSe2N
1.0
-0.8039 5.8853 -1.0011
0.0045 -1.0095 -5.9385
-4.6767 -0.6214 0.1021
Se N Pb Ba
2 1 1 1
direct
0.5000 0.0000 0.0000
0.0000 0.5000 0.0000
0.0000 0.0000 0.5000
0.5000 0.5000 0.5000
0.0000 0.0000 0.0000
```

---

(21)
## AcLaPbO2 (PBE)

Data for an optimized crystal structure of AcLaPbO2.

Calculated values
Space-group type: I4mm (107)
Raw formation energy in eV per atom: -2.49

Cell and atoms, written as POSCAR:
```
AcLaPbO2
1.0
-3.5192 0.2011 2.1302
1.7999 -1.9391 3.1565
2.9906 7.5506 0.2462
O La Pb Ac
2 1 1 1
direct
0.2531 0.7531 0.5062
0.7531 0.2531 0.5062
0.8309 0.8309 0.6619
0.4981 0.4981 0.9962
0.1647 0.1647 0.3295
```

---

(22)
## Al4Cu3Ru (PBE)

Data for an optimized crystal structure of Al4Cu3Ru.

Calculated values
Formation energy in meV/atom: -346.5
Space-group type: P4/mmm (123)

Cell and atoms, written as POSCAR:
```
Al4Cu3Ru
1.0
4.2348 0.0000 0.0000
0.0000 5.9614 0.0000
0.0000 0.0000 8.4716
Al Cu Ru
8 6 2
direct
0.5000 0.2526 0.5000
0.0007 0.2525 0.2500
0.5000 0.7474 0.0000
0.9993 0.7475 0.7500
0.9993 0.2525 0.7500
0.0007 0.7475 0.2500
0.5000 0.7474 0.5000
0.5000 0.2526 0.0000
0.5007 0.5000 0.2500
0.0000 0.0000 0.0000
0.4989 0.0000 0.7500
0.0000 0.0000 0.5000
0.5011 0.0000 0.2500
0.4993 0.5000 0.7500
0.0000 0.5000 0.5000
0.0000 0.5000 0.0000
```

---

(23)
## KMg2SiPt (PBE)

Data for an optimized crystal structure of KMg2SiPt.

Calculated values
Space-group type: P4/mmm (123)
Raw formation energy in eV per atom: -0.25

Cell and atoms, written as POSCAR:
```
KMg2SiPt
1.0
-4.8186 -1.5001 1.1678
1.8451 -4.4566 1.8886
0.4139 1.9645 4.2312
Mg Si K Pt
2 1 1 1
direct
0.5000 0.0000 0.0000
0.0000 0.5000 0.0000
0.0000 0.0000 0.5000
0.5000 0.5000 0.5000
0.0000 0.0000 0.0000
```

---

(24)
## Zr2MnTe (PBE)

Data for an optimized crystal structure of Zr2MnTe.

Calculated values
Space-group type: Cmmm (65)
Raw formation energy in eV per atom: -0.22

Cell and atoms, written as POSCAR:
```
Zr2MnTe
1.0
-3.8428 -1.2890 -2.7619
5.9906 -3.4649 -0.2428
0.1995 -3.2586 1.2408
Zr Te Mn
2 1 1
direct
0.0000 0.5000 0.5000
0.0000 0.0000 0.0000
0.5000 0.0000 0.5000
0.5000 0.5000 0.0000
```

---

(25)
## Na3CePm2Te6 (PBE)

Data for an optimized crystal structure of Na3CePm2Te6.

Calculated values
Space-group type: C2/m (12)
Raw formation energy in eV per atom: -1.30

Cell and atoms, written as POSCAR:
```
Na3CePm2Te6
1.0
-4.1216 -6.0116 2.9551
3.6451 -0.7600 -6.9278
6.3406 -0.2470 4.8517
Pm Na Te Ce
2 3 6 1
direct
0.3334 0.6666 0.0000
0.6666 0.3334 0.0000
0.1668 0.8332 0.5000
0.8332 0.1668 0.5000
0.5000 0.5000 0.5000
0.9205 0.5849 0.7616
0.2561 0.2561 0.7612
0.4151 0.0795 0.2384
0.5849 0.9205 0.7616
0.0795 0.4151 0.2384
0.7439 0.7439 0.2388
0.0000 0.0000 0.0000
```

---

(26)
## NaSnHgAu (PBE)

Data for an optimized crystal structure of NaSnHgAu.

Calculated values
Excess energy over the best structure of this formula in the dataset in meV/atom: 204
Formation energy in meV/atom: 10.5
Space-group type: Cm (8)

Cell and atoms, written as POSCAR:
```
NaSnHgAu
1.0
3.1221 0.0000 0.0000
-1.5611 3.4815 0.6140
0.0000 1.0127 9.4060
Au Na Hg Sn
1 1 1 1
direct
0.9309 0.8618 0.9272
0.5573 0.1147 0.1561
0.3141 0.6283 0.7048
0.1520 0.3039 0.4510
```

---

For each record above, in turn, the calculated E values are -5.4817, -6.5161, -5.7888, -3.9081, -2.6009, -2.6373, -5.8237, -4.4277, -2.7778, -3.3381, -5.7908, -6.6227, -7.4626, -2.5115, -6.2562, -5.4465, -6.2828, -5.8002, -2.6323, -3.5991, -7.0267, -4.9133, -3.3981, -7.5750, -4.4899, -2.2147 eV/atom.